This record from Alexandria via LeMat-Bulk describes an optimized crystal structure of LiSn2Pb. The functional is GGA-PBE.

Cell and atoms, written as POSCAR:
```
LiSn2Pb
1.0
-1.3111 1.8141 -2.5841
-1.7563 -3.7655 -1.7524
-4.0635 1.9472 5.6901
Li Sn Pb
1 2 1
Cartesian
-3.4569 1.3933 0.4706
-0.7800 0.1354 0.4908
-3.5797 -1.4138 0.8236
-4.9113 0.8525 3.0903
```

Calculated values
The space group is Imm2 (44). For the formation energy, the calculation gives -0.068 eV per atom. The value obtained for the density of states at the Fermi level is 1.76 states/eV per cell. The calculation puts the raw total energy at -0.1277 Ha/atom.